A plane-wave DFT calculation with meta-GGA SCAN was carried out for LaCoAg at its PBEsol-relaxed geometry.

Properties
Final energy: -30.1745 eV/atom
Formation enthalpy at 0 K: 418 meV/atom

Unit cell a=4.644 b=4.644 c=4.644 alpha=60.00 beta=60.00 gamma=60.00
Site moments in Bohr magnetons follow the coordinates.
Sites, in units of the cell vectors:
Co 0.000 0.000 0.000  1.98
Ag 0.250 0.250 0.250  -0.09
La 0.500 0.500 0.500  -0.24

=====

A plane-wave DFT calculation with meta-GGA SCAN was carried out for LaCoAg at its PBEsol-relaxed geometry.

Properties
Final energy: -30.5127 eV/atom
Formation enthalpy at 0 K: 79 meV/atom

Unit cell a=3.418 b=3.421 c=5.621 alpha=107.72 beta=107.70 gamma=90.00
Site moments in Bohr magnetons follow the coordinates.
Sites, in units of the cell vectors:
Co 0.650 0.650 0.300  1.72
Ag 0.030 0.030 0.059  -0.02
La 0.321 0.321 0.641  -0.18

=====

A plane-wave DFT calculation with meta-GGA SCAN was carried out for LaCo2Ag at its PBEsol-relaxed geometry.

Properties
Final energy: -27.0729 eV/atom
Formation enthalpy at 0 K: 197 meV/atom

Unit cell a=4.349 b=4.349 c=5.189 alpha=65.23 beta=65.23 gamma=60.00
Site moments in Bohr magnetons follow the coordinates.
Sites, in units of the cell vectors:
Co 0.824 0.824 0.527  1.12
Co 0.176 0.176 0.473  1.12
Ag 0.500 0.500 0.500  -0.04
La 0.000 0.000 0.000  -0.25

=====

A plane-wave DFT calculation with meta-GGA SCAN was carried out for LaCo2Ag at its PBEsol-relaxed geometry.

Properties
Final energy: -27.1995 eV/atom
Formation enthalpy at 0 K: 71 meV/atom

Unit cell a=4.052 b=4.053 c=5.724 alpha=110.71 beta=90.00 gamma=119.99
Site moments in Bohr magnetons follow the coordinates.
Sites, in units of the cell vectors:
Co 0.027 0.054 0.081  1.63
Co 0.697 0.394 0.091  1.52
Ag 0.288 0.576 0.864  -0.03
La 0.488 0.976 0.464  -0.20

=====

A plane-wave DFT calculation with meta-GGA SCAN was carried out for LiY2CoAg at its PBEsol-relaxed geometry.

Properties
Final energy: -20.9043 eV/atom
Formation enthalpy at 0 K: 445 meV/atom

Unit cell a=3.833 b=5.155 c=5.155 alpha=90.00 beta=90.00 gamma=90.00
Site moments in Bohr magnetons follow the coordinates.
Sites, in units of the cell vectors:
Y 0.000 0.000 0.500  -0.15
Y 0.000 0.500 0.000  -0.15
Co 0.500 0.000 0.000  1.19
Ag 0.500 0.500 0.500  -0.01
Li 0.000 0.000 0.000  -0.04

=====

A plane-wave DFT calculation with meta-GGA SCAN was carried out for Mg2CoAg at its PBEsol-relaxed geometry.

Properties
Final energy: -14.5998 eV/atom
Formation enthalpy at 0 K: 55 meV/atom

Unit cell a=4.450 b=4.450 c=4.450 alpha=60.00 beta=60.00 gamma=60.00
Site moments in Bohr magnetons follow the coordinates.
Sites, in units of the cell vectors:
Ag 0.500 0.500 0.500  -0.01
Co 0.250 0.250 0.250  1.83
Mg 0.000 0.000 0.000  -0.01
Mg 0.750 0.750 0.750  -0.01

=====

A plane-wave DFT calculation with meta-GGA SCAN was carried out for Mg2CoAg at its PBEsol-relaxed geometry.

Properties
Final energy: -14.6954 eV/atom
Formation enthalpy at 0 K: -41 meV/atom

Unit cell a=3.286 b=4.337 c=4.335 alpha=90.00 beta=90.00 gamma=90.00
Site moments in Bohr magnetons follow the coordinates.
Sites, in units of the cell vectors:
Ag 0.500 0.500 0.000  -0.03
Co 0.500 0.000 0.500  1.65
Mg 0.000 0.000 0.000  -0.02
Mg 0.000 0.500 0.500  -0.02

=====

A plane-wave DFT calculation with meta-GGA SCAN was carried out for MgCoAg3 at its PBEsol-relaxed geometry.

Properties
Final energy: -22.2259 eV/atom
Formation enthalpy at 0 K: 1050 meV/atom

Unit cell a=4.691 b=4.691 c=4.691 alpha=90.00 beta=90.00 gamma=90.00
Site moments in Bohr magnetons follow the coordinates.
Sites, in units of the cell vectors:
Mg 0.000 0.000 0.000  0.00
Co 0.500 0.500 0.500  2.08
Ag 0.000 0.500 0.000  -0.01
Ag 0.000 0.000 0.500  -0.01
Ag 0.500 0.000 0.000  -0.01